Model w:
{
  "formula": "Dy3InH",
  "functional": "PBE",
  "state": "relaxed",
  "total_magnetization_mub_per_fu": 1.4,
  "n_ef_per_ev_atom": 0.988,
  "crystal_system": "cubic",
  "lattice_angstrom": [[-0.122, -1.618, -4.562], [4.739, -0.967, 0.216], [-0.983, -4.460, 1.609]],
  "species": ["H", "In", "Dy", "Dy", "Dy"],
  "frac_coords": [[0.000, 0.000, 0.000], [0.500, 0.500, 0.500], [0.000, 0.500, 0.000], [0.000, 0.000, 0.500], [0.500, 0.000, 0.000]]
}



Model x:
{
  "formula": "Dy3InH",
  "functional": "PBE",
  "state": "relaxed",
  "total_magnetization_mub_per_fu": 0.0,
  "n_ef_per_ev_atom": 0.908,
  "crystal_system": "monoclinic",
  "lattice_angstrom": [[-3.863, -1.031, -5.279], [4.318, -7.015, -1.789], [-5.910, -3.894, 5.085]],
  "species": ["Dy", "Dy", "Dy", "Dy", "Dy", "Dy", "Dy", "Dy", "Dy", "Dy", "Dy", "Dy", "In", "In", "In", "In", "H", "H", "H", "H"],
  "frac_coords": [[0.040, 0.277, 0.249], [0.960, 0.723, 0.751], [0.540, 0.223, 0.251], [0.460, 0.777, 0.749], [0.375, 0.627, 0.358], [0.625, 0.373, 0.642], [0.875, 0.873, 0.142], [0.125, 0.127, 0.858], [0.752, 0.977, 0.526], [0.248, 0.023, 0.474], [0.252, 0.523, 0.974], [0.748, 0.477, 0.026], [0.859, 0.608, 0.391], [0.141, 0.392, 0.609], [0.359, 0.892, 0.109], [0.641, 0.108, 0.891], [0.034, 0.341, 0.012], [0.966, 0.659, 0.988], [0.534, 0.159, 0.488], [0.466, 0.841, 0.512]]
}



Pick the most stable structure from those above. Pick: model w